The following is a GGA-PBE calculation of a relaxed RbNbB2O6 crystal, from the Open Quantum Materials Database.

```
100
Lattice="-6.454 -2.804 2.168 6.456 -0.674 18.346 3.181 11.423 -0.700" Properties=species:S:1:pos:R:3 pbc="T T T"
B 3.560 1.187 17.237
B 0.925 2.801 1.865
B 4.708 2.467 12.602
B -0.092 1.733 6.454
B 1.029 1.652 9.704
B 3.312 2.589 9.460
B 1.877 2.782 5.345
B 2.662 1.667 13.702
B 5.650 2.304 16.636
B -1.379 2.070 2.404
B 0.068 7.429 2.445
B 7.666 7.975 16.151
B 3.892 8.429 5.415
B 3.978 7.185 13.149
B 2.818 7.343 9.916
B 4.772 8.315 8.739
B 6.231 8.205 12.848
B 1.590 7.656 5.787
B 2.100 8.553 1.678
B 5.515 7.228 17.125
Nb 3.369 -0.408 9.949
Nb -4.151 -2.969 8.390
Nb -4.422 2.843 2.967
Nb 6.959 5.022 15.530
Nb 3.270 5.513 4.452
Nb 4.442 5.357 8.127
Nb -0.506 2.528 13.876
Nb 2.807 7.966 18.641
Nb 3.875 11.222 1.897
Nb 7.939 10.903 12.849
O 1.297 -0.165 4.311
O -3.257 -2.842 9.981
O 4.141 -0.038 17.325
O -4.983 -1.235 4.194
O -1.094 -1.521 14.914
O 1.460 0.400 10.011
O 0.572 0.617 6.852
O -3.721 -1.039 7.780
O 3.950 1.508 9.976
O -1.027 0.869 2.932
O 3.202 0.548 14.251
O 6.498 1.338 17.086
O -4.740 0.997 3.570
O 2.210 1.307 17.327
O -1.437 1.788 6.590
O 5.243 3.503 11.891
O 4.014 3.573 8.856
O -0.428 3.062 2.108
O 0.570 2.824 5.867
O 4.297 2.349 17.005
O 1.915 2.730 9.525
O 3.437 2.693 13.147
O -0.298 1.938 9.513
O 1.328 1.856 13.660
O 6.030 3.293 15.794
O 2.220 3.822 4.518
O -2.674 2.397 2.115
O 7.533 4.815 17.606
O -3.266 2.952 4.810
O 3.417 5.200 6.616
O 6.358 5.184 13.823
O -0.802 2.779 12.088
O 0.438 6.226 1.934
O 1.508 3.965 17.772
O -2.170 4.469 6.986
O 2.932 6.124 9.326
O 4.221 6.114 12.351
O 0.255 4.423 14.207
O 4.922 7.284 7.868
O 5.432 6.072 16.416
O 1.642 6.589 4.950
O 2.458 7.638 0.735
O 2.140 6.156 18.251
O -1.038 7.524 3.228
O 2.845 7.219 13.888
O 4.778 9.429 5.701
O 5.719 9.273 8.833
O 6.464 8.220 16.825
O 4.886 8.251 13.263
O 0.815 8.590 2.241
O 3.646 8.427 9.571
O 2.565 8.662 5.800
O 1.908 7.585 10.913
O 0.580 7.812 6.667
O 2.946 9.493 2.160
O 7.040 9.197 13.344
O 4.693 7.505 18.181
O 3.019 11.164 -0.089
O 2.559 8.221 16.492
O 6.693 10.735 11.054
Rb 1.555 -1.193 16.100
Rb 0.443 -0.945 12.374
Rb -3.489 -0.549 1.378
Rb -2.262 -0.683 5.065
Rb -1.029 -0.842 8.777
Rb -0.839 4.935 4.428
Rb 0.630 4.913 8.037
Rb 4.452 4.500 19.072
Rb 3.099 4.635 15.429
Rb 1.735 4.747 11.761
```

Results
Electronic total energy, eV per atom: -7.88
Total moment, μB per cell: 0.00
Space group: Pc (7)